Material: Tb2CePm
Method: DFT, PBE
State: optimized geometry

```
data_Tb2CePm
_cell_length_a 8.057
_cell_length_b 8.057
_cell_length_c 8.057
_cell_angle_alpha 90.00
_cell_angle_beta 90.00
_cell_angle_gamma 90.00
_space_group_name_H-M_alt 'F m -3 m'
_space_group_IT_number 225
_space_group_name_Hall '-F 4 2 3'
loop_
_atom_site_label
_atom_site_type_symbol
_atom_site_fract_x
_atom_site_fract_y
_atom_site_fract_z
Tb1 Tb 0.250 0.250 0.250
Ce1 Ce 0.000 0.000 0.000
Pm1 Pm 0.000 0.000 0.500
```

Material: Tb2CePm
Method: DFT, PBE
State: optimized geometry

```
data_Tb2CePm
_cell_length_a 3.556
_cell_length_b 3.556
_cell_length_c 10.079
_cell_angle_alpha 90.00
_cell_angle_beta 90.00
_cell_angle_gamma 90.00
_space_group_name_H-M_alt 'P 4/m m m'
_space_group_IT_number 123
_space_group_name_Hall '-P 4 2'
loop_
_atom_site_label
_atom_site_type_symbol
_atom_site_fract_x
_atom_site_fract_y
_atom_site_fract_z
Tb1 Tb 0.000 0.000 0.241
Ce1 Ce 0.500 0.500 0.000
Pm1 Pm 0.500 0.500 0.500
```

Material: Tb2CePm
Method: DFT, PBE
State: optimized geometry

```
data_Tb2CePm
_cell_length_a 3.4672
_cell_length_b 3.4672
_cell_length_c 36.9194
_cell_angle_alpha 90.00
_cell_angle_beta 90.00
_cell_angle_gamma 120.00
_space_group_name_H-M_alt 'R -3 m'
_space_group_IT_number 166
_space_group_name_Hall '-R 3 2"'
loop_
_atom_site_label
_atom_site_type_symbol
_atom_site_fract_x
_atom_site_fract_y
_atom_site_fract_z
Tb1 Tb 0.0000 0.0000 0.0916
Ce1 Ce 0.0000 0.0000 0.5000
Pm1 Pm 0.0000 0.0000 0.0000
```

no.,energy relative to the lowest polymorph listed for this composition (eV/f.u.),calculated formation energy (meV/atom)
1,0.53,182.3
2,0.04,59.8
3,0.51,178.7